No. 1
The following is a DFT calculation (PBE-GGA) of a relaxed Sn2BiRu crystal.

a = 7.8764 Å, b = 7.8764 Å, c = 7.8764 Å
α = 132.11°, β = 132.11°, γ = 70.05°
Element x y z (fractional)
1 Sn 0.0615 0.6250 0.9365
2 Sn 0.3750 0.3115 0.4365
3 Sn 0.6885 0.1250 0.0635
4 Sn 0.8750 0.9385 0.5635
5 Bi 0.2500 0.7500 0.5000
6 Bi 0.5000 0.5000 0.0000
7 Ru 0.0000 0.0000 0.0000
8 Ru 0.7500 0.2500 0.5000

Summary:
Total moment (μB/f.u.): 0.00
DOS at the Fermi energy (states/eV per cell): 6.27
Raw total energy (eV/cell): -38.82
Symmetry: I-42d, No. 122
Energy of formation from the pure elements (eV/f.u.): 1.75

***

No. 2
The following is a DFT calculation (PBE-GGA) of a relaxed CaRe2Si crystal.

a = 4.4282 Å, b = 4.4282 Å, c = 6.1497 Å
α = 99.65°, β = 99.65°, γ = 41.81°
Element x y z (fractional)
1 Ca 0.0000 0.0000 0.0000
2 Re 0.2326 0.2326 0.6340
3 Re 0.4957 0.4957 0.4971
4 Si 0.7604 0.7604 0.3132

Summary:
Total moment (μB/f.u.): 0.00
DOS at the Fermi energy (states/eV per cell): 2.83
Raw total energy (eV/cell): -31.51
Energy relative to the elements, uncorrected (eV per atom): 0.20
Symmetry: Cm, No. 8

***

No. 3
The following is a DFT calculation (PBE-GGA) of a relaxed FeRuSe2 crystal.

a = 4.7697 Å, b = 4.7697 Å, c = 4.1730 Å
α = 112.05°, β = 112.05°, γ = 109.38°
Element x y z (fractional)
1 Fe 0.0000 0.0000 0.0000
2 Ru 0.5000 0.5000 0.0000
3 Se 0.0000 0.5000 0.5000
4 Se 0.5000 0.0000 0.5000

Summary:
Total moment (μB/f.u.): 3.11
Excess energy over the best structure of this formula in the dataset (eV per atom): 0.663
DOS at the Fermi energy (states/eV per cell): 4.75
Raw total energy (eV/cell): -22.95
Energy relative to the elements, uncorrected (eV per atom): 0.44
Symmetry: C2/m, No. 12

***

No. 4
The following is a DFT calculation (PBE-GGA) of a relaxed HfInRe2H crystal.

a = 4.9045 Å, b = 4.9045 Å, c = 5.2415 Å
α = 90.00°, β = 90.00°, γ = 90.00°
Element x y z (fractional)
1 Hf 0.0000 0.0000 0.0000
2 In 0.0000 0.0000 0.5000
3 Re 0.0000 0.5000 0.5000
4 Re 0.5000 0.0000 0.5000
5 H 0.5000 0.5000 0.0000

Summary:
Total moment (μB/f.u.): 2.06
DOS at the Fermi energy (states/eV per cell): 6.02
Raw total energy (eV/cell): -25.80
Symmetry: P4/mmm, No. 123

***

> What is the total moment in the third record?

3.11 μB/f.u.

***

> raw total energy of number 2 (CaRe2Si)?

-31.51 eV/cell

***

> What is the raw total energy in the fourth record?

-25.80 eV/cell

***

> The highest total moment belongs to which entry?

FeRuSe2